No. 1
This record from the Alexandria database describes a geometry-optimized AcLa2DySb4 structure. The functional is PBE.

Cell and atoms, written as POSCAR:
```
AcLa2DySb4
1.0
-3.162 0.412 -3.345
-5.298 -3.904 4.528
-4.051 5.240 4.475
Sb Ac Dy La
4 1 1 2
Direct
0.000 0.752 0.738
0.500 0.256 0.738
0.000 0.248 0.262
0.500 0.744 0.262
0.500 0.500 0.000
0.000 0.500 0.500
0.000 0.000 0.000
0.500 0.000 0.500
```

Summary:
DOS at the Fermi energy (states/eV per atom): 0.107
Uncorrected formation energy (eV per atom): -1.199
Calculated density (g cm⁻³): 6.889

No. 2
This record from the Alexandria database describes a geometry-optimized LiThTlRu structure. The functional is PBE.

Cell and atoms, written as POSCAR:
```
LiThTlRu
1.0
-4.416 1.865 0.912
-3.625 -0.634 -3.205
-3.724 -2.962 1.083
Tl Li Ru Th
1 1 1 1
Direct
0.000 0.000 0.000
0.250 0.250 0.250
0.750 0.750 0.750
0.500 0.500 0.500
```

Summary:
DOS at the Fermi energy (states/eV per atom): 0.966
E_form (kJ per mole of atoms): -11.40
Calculated density (g cm⁻³): 11.001

No. 3
This record from the Alexandria database describes a geometry-optimized Ca8In2Ru structure. The functional is PBE.

Cell and atoms, written as POSCAR:
```
Ca8In2Ru
1.0
-1.485 -0.073 -5.304
-6.474 -2.648 1.849
1.273 9.580 2.372
Ru Ca In
1 8 2
Direct
0.500 0.000 0.000
0.405 0.219 0.809
0.981 0.755 0.962
0.647 0.352 0.295
0.796 0.870 0.591
0.204 0.130 0.409
0.353 0.648 0.705
0.019 0.245 0.038
0.595 0.781 0.191
0.821 0.342 0.642
0.179 0.658 0.358
```

Summary:
DOS at the Fermi energy (states/eV per atom): 0.769
E_form (kJ per mole of atoms): -16.32
Calculated density (g cm⁻³): 3.132

No. 4
This record from the Alexandria database describes a geometry-optimized Sr2ZnSCl structure. The functional is PBE.

Cell and atoms, written as POSCAR:
```
Sr2ZnSCl
1.0
-0.117 -2.945 -5.044
3.282 -3.035 1.696
-4.247 -3.421 2.096
Zn S Cl Sr
1 1 1 2
Direct
0.000 0.000 0.000
0.500 0.500 0.500
0.000 0.500 0.000
0.000 0.000 0.500
0.500 0.000 0.000
```

Summary:
DOS at the Fermi energy (states/eV per atom): 0.464
Uncorrected formation energy (eV per atom): -0.576
Calculated density (g cm⁻³): 3.136

Which of these has the highest DOS at the Fermi energy? LiThTlRu